Record 1
# BaBeBr (PBE, relaxed)
data_BaBeBr
_chemical_formula_sum 'Ba1 Be1 Br1'
_symmetry_space_group_name_H-M 'P 1'
_symmetry_Int_Tables_number 1
_cell_length_a 5.566
_cell_length_b 5.566
_cell_length_c 5.566
_cell_angle_alpha 129.76
_cell_angle_beta 129.76
_cell_angle_gamma 73.80
loop_
_symmetry_equiv_pos_as_xyz
'x,y,z'
loop_
_atom_site_label
_atom_site_type_symbol
_atom_site_fract_x
_atom_site_fract_y
_atom_site_fract_z
_atom_site_occupancy
Ba1 Ba 0.008 0.008 0.000 1
Br1 Br 0.621 0.621 0.000 1
Be1 Be 0.371 0.371 0.000 1
# SG: I4mm, No. 107
# Energy relative to the lowest polymorph listed for this composition, kJ/mol of formula units: 16


Record 2
# BaBeBr (PBE, relaxed)
data_BaBeBr
_chemical_formula_sum 'Ba1 Be1 Br1'
_symmetry_space_group_name_H-M 'P 1'
_symmetry_Int_Tables_number 1
_cell_length_a 4.787
_cell_length_b 3.918
_cell_length_c 5.096
_cell_angle_alpha 90.00
_cell_angle_beta 110.12
_cell_angle_gamma 90.00
loop_
_symmetry_equiv_pos_as_xyz
'x,y,z'
loop_
_atom_site_label
_atom_site_type_symbol
_atom_site_fract_x
_atom_site_fract_y
_atom_site_fract_z
_atom_site_occupancy
Br1 Br 0.662 0.000 0.397 1
Ba1 Ba 0.049 0.500 0.996 1
Be1 Be 0.393 0.000 0.670 1
# SG: Pm, No. 6
# Energy relative to the lowest polymorph listed for this composition, kJ/mol of formula units: 16